# CeHo2Mg9

CeHo2Mg9 after structural relaxation (PBE, Alexandria).

For the formation enthalpy at 0 K, the calculation gives -14 meV/atom. As for the total magnetization: 3.70 Bohr magnetons per cell. The density of states at the Fermi level is 17.4 states/eV/f.u.

The structure belongs to space group R-3m (No. 166, hexagonal axes); the cell edges are 6.0282, 6.0282 and 29.3400 Å and the angles 90.00°, 90.00° and 120.00°. The distinct sites, in fractional coordinates, are Ce at (0.0000, 0.0000, 0.0000), Ho at (0.0000, 0.0000, 0.1446), Mg at (0.0000, 0.0000, 0.3340), Mg at (0.0000, 0.0000, 0.5000) and Mg at (0.0050, 0.5025, 0.9152).